Entry 1:
{
  "formula": "LiMgAg",
  "functional": "SCAN",
  "state": "PBEsol geometry",
  "lattice": [[2.895, 0.000, 0.000], [0.000, 4.522, 0.000], [0.000, -2.261, 3.916]],
  "species": ["Mg", "Li", "Ag"],
  "frac_coords": [[0.350, 0.333, 0.667], [0.705, 0.667, 0.333], [0.944, 0.000, 0.000]],
  "e_form_mev_per_atom": -202,
  "relative_energy_mev_per_atom": 12,
  "total_energy_ev_per_atom": -13.11,
  "volume_a3_per_atom": 17.09
}


Entry 2:
{
  "formula": "LiMg2Ag",
  "functional": "SCAN",
  "state": "PBEsol geometry",
  "lattice": [[-1.650, -1.062, 2.203], [-3.365, -0.963, -2.984], [2.813, -4.485, -1.726]],
  "species": ["Ag", "Mg", "Mg", "Li"],
  "frac_coords": [[0.365, 0.000, 0.496], [0.029, 0.000, 0.967], [0.730, 0.500, 0.286], [0.375, 0.500, 0.751]],
  "e_form_mev_per_atom": -149,
  "relative_energy_mev_per_atom": 123,
  "total_energy_ev_per_atom": -11.07,
  "volume_a3_per_atom": 18.41
}


Entry 3:
{
  "formula": "LiMg2Ag",
  "functional": "SCAN",
  "state": "PBEsol geometry",
  "lattice": [[-3.205, 2.084, -1.324], [-2.425, -2.248, 2.331], [3.323, 2.964, 2.804]],
  "species": ["Mg", "Mg", "Ag", "Li"],
  "frac_coords": [[0.750, 0.250, 0.500], [0.000, 0.000, 0.000], [0.500, 0.500, 0.000], [0.250, 0.750, 0.500]],
  "e_form_mev_per_atom": -191,
  "relative_energy_mev_per_atom": 80,
  "total_energy_ev_per_atom": -11.12,
  "volume_a3_per_atom": 18.07
}


Entry 4:
{
  "formula": "LiMgAg",
  "functional": "SCAN",
  "state": "PBEsol geometry",
  "lattice": [[3.317, 0.000, 0.000], [0.000, 3.317, 0.000], [-1.658, -1.658, 4.648]],
  "species": ["Mg", "Li", "Ag"],
  "frac_coords": [[0.337, 0.337, 0.675], [0.654, 0.654, 0.307], [0.009, 0.009, 0.018]],
  "e_form_mev_per_atom": -214,
  "relative_energy_mev_per_atom": 0,
  "total_energy_ev_per_atom": -13.12,
  "volume_a3_per_atom": 17.04
}


Entry 5:
{
  "formula": "LiMg2Ag",
  "functional": "SCAN",
  "state": "PBEsol geometry",
  "lattice": [[-1.602, 0.661, 2.878], [2.087, -3.602, 1.989], [3.337, 4.166, -1.059]],
  "species": ["Mg", "Mg", "Ag", "Li"],
  "frac_coords": [[0.765, 0.269, 0.530], [0.995, 0.991, 0.990], [0.508, 0.504, 0.015], [0.232, 0.735, 0.465]],
  "e_form_mev_per_atom": -194,
  "relative_energy_mev_per_atom": 78,
  "total_energy_ev_per_atom": -11.12,
  "volume_a3_per_atom": 18.16
}


Entry 6:
{
  "formula": "LiMg2Ag",
  "functional": "SCAN",
  "state": "PBEsol geometry",
  "lattice": [[-1.596, -1.860, 2.240], [2.781, -0.218, 1.801], [-1.719, 5.468, 3.316]],
  "species": ["Ag", "Mg", "Mg", "Li"],
  "frac_coords": [[0.000, 0.000, 0.521], [0.500, 0.500, 0.284], [0.000, 0.000, 0.974], [0.500, 0.500, 0.721]],
  "e_form_mev_per_atom": -165,
  "relative_energy_mev_per_atom": 107,
  "total_energy_ev_per_atom": -11.09,
  "volume_a3_per_atom": 18.25
}